No. 1
The following is a GGA-PBE calculation of a geometry-optimized AgMoIr2 structure, from Alexandria via LeMat-Bulk.

Cell lengths 2.7384, 2.7384, 8.2903 Å; angles 90.00, 90.00, 90.00 degrees
With the nearest neighbours (Å) after each atom.
Element x y z (fractional)
1 Ag 0.5000 0.5000 0.7537  4 Ag 2.74, 4 Ir 2.91, 4 Mo 2.95
2 Ir 0.0000 0.0000 0.0152  8 Ir 2.72-2.74, 4 Ag 2.91
3 Mo 0.0000 0.0000 0.4860  4 Mo 2.74, 4 Ir 2.78, 4 Ag 2.95
4 Ir 0.5000 0.5000 0.2451  8 Ir 2.72-2.74, 4 Mo 2.78

## Properties
Uncorrected energy ... -7.64 eV per atom
Formation energy from the elements ... 0.2089 eV/atom
Offset from the most stable computed form ... 199 meV per atom

---

No. 2
The following is a GGA-PBE calculation of a geometry-optimized AcSmP2S8 structure, from Alexandria via LeMat-Bulk.

Cell lengths 6.0192, 6.0192, 9.2662 Å; angles 90.00, 90.00, 120.00 degrees
With the nearest neighbours (Å) after each atom.
Element x y z (fractional)
1 S 0.6723 0.0076 0.2881  1 P 2.06
2 P 0.6667 0.3333 0.2270  4 S 2.03-2.06
3 S 0.3333 0.6667 0.9918  1 P 2.03
4 S 0.9924 0.6647 0.2881  1 P 2.06
5 Ac 0.0000 0.0000 0.0000  12 S 3.33-3.48
6 P 0.3333 0.6667 0.7730  4 S 2.03-2.06
7 S 0.6667 0.3333 0.0082  1 P 2.03
8 S 0.3277 0.9924 0.7119  1 P 2.06
9 S 0.3353 0.3277 0.2881  1 P 2.06
10 Sm 0.0000 0.0000 0.5000  6 S 2.80
11 S 0.6647 0.6723 0.7119  1 P 2.06
12 S 0.0076 0.3353 0.7119  1 P 2.06

## Properties
Uncorrected energy ... -5.36 eV per atom
Formation energy (no corrections) ... -0.972 eV per atom